## RbBa2Al2 (PBE)

Data for a relaxed structure of RbBa2Al2.

Unit cell a=4.048 b=4.048 c=27.917 alpha=90.00 beta=90.00 gamma=90.00
Fractional coordinates of all 10 atoms:
Rb1 0.000 0.000 0.000
Rb2 0.500 0.500 0.500
Ba1 0.000 0.000 0.355
Ba2 0.000 0.000 0.645
Ba3 0.500 0.500 0.145
Ba4 0.500 0.500 0.855
Al1 0.000 0.500 0.250
Al2 0.000 0.500 0.750
Al3 0.500 0.000 0.250
Al4 0.500 0.000 0.750

Results
- Spin magnetization: 1.95 Bohr magnetons per cell
- E above lowest polymorph: 81 meV/atom
- ΔE_f: 0.15 eV per atom
- Calculated density: 3.0 Mg/m³